VASP calculation (PBE) on an optimized crystal structure of UTcSb2.

Properties
SG: R-3m (166)
relative energy among the computed polymorphs: 546 meV per atom
calculated volume: 88.97 Å³/cell

abc: 3.107 3.107 10.796
angles: 81.73 81.73 60.00
Site moments in Bohr magnetons follow the coordinates.
Element x y z (fractional)
Sb (0.083, 0.083, 0.751)  -0.03
Sb (0.917, 0.917, 0.249)  -0.03
U (0.500, 0.500, 0.500)  1.45
Tc (0.000, 0.000, 0.000)  -1.15